A plane-wave DFT calculation with PBE was carried out for NaTlV2 after structural relaxation.

Values from the calculation:
Calculated formation energy ... 3.5 eV per formula unit
Distance to the lowest polymorph of the same formula ... 0.00 eV per formula unit
Symmetry ... No. 225

Geometry as CIF:
```
data_NaTlV2
_chemical_formula_sum 'Na1 Tl1 V2'
_cell_length_a 4.829
_cell_length_b 4.829
_cell_length_c 4.829
_cell_angle_alpha 60.00
_cell_angle_beta 60.00
_cell_angle_gamma 60.00
_space_group_name_H-M_alt 'P 1'
_space_group_IT_number 1
loop_
_space_group_symop_operation_xyz
'x,y,z'
loop_
_atom_site_label
_atom_site_type_symbol
_atom_site_fract_x
_atom_site_fract_y
_atom_site_fract_z
_atom_site_occupancy
Na1 Na 0.000 0.000 0.000 1
Tl1 Tl 0.500 0.500 0.500 1
V1 V 0.250 0.250 0.250 1
V2 V 0.750 0.750 0.750 1
```

=====

A plane-wave DFT calculation with PBE was carried out for Y2ZrAg after structural relaxation.

Values from the calculation:
Calculated formation energy ... 0.4 eV per formula unit
Distance to the lowest polymorph of the same formula ... 0.81 eV per formula unit
Symmetry ... No. 25

Geometry as CIF:
```
data_Y2ZrAg
_chemical_formula_sum 'Y2 Zr1 Ag1'
_cell_length_a 3.487
_cell_length_b 4.460
_cell_length_c 6.590
_cell_angle_alpha 90.00
_cell_angle_beta 90.00
_cell_angle_gamma 90.00
_space_group_name_H-M_alt 'P 1'
_space_group_IT_number 1
loop_
_space_group_symop_operation_xyz
'x,y,z'
loop_
_atom_site_label
_atom_site_type_symbol
_atom_site_fract_x
_atom_site_fract_y
_atom_site_fract_z
_atom_site_occupancy
Y1 Y 0.000 0.000 0.000 1
Y2 Y 0.500 0.500 0.305 1
Zr1 Zr 0.000 0.000 0.523 1
Ag1 Ag 0.500 0.500 0.773 1
```

=====

A plane-wave DFT calculation with PBE was carried out for SmMg3Rh after structural relaxation.

Values from the calculation:
Calculated formation energy ... -1.3 eV per formula unit
Distance to the lowest polymorph of the same formula ... 0.52 eV per formula unit
Symmetry ... No. 38

Geometry as CIF:
```
data_SmMg3Rh
_chemical_formula_sum 'Sm1 Mg3 Rh1'
_cell_length_a 4.657
_cell_length_b 5.960
_cell_length_c 5.960
_cell_angle_alpha 45.91
_cell_angle_beta 90.00
_cell_angle_gamma 90.00
_space_group_name_H-M_alt 'P 1'
_space_group_IT_number 1
loop_
_space_group_symop_operation_xyz
'x,y,z'
loop_
_atom_site_label
_atom_site_type_symbol
_atom_site_fract_x
_atom_site_fract_y
_atom_site_fract_z
_atom_site_occupancy
Sm1 Sm 0.000 0.000 0.000 1
Mg1 Mg 0.000 0.287 0.287 1
Mg2 Mg 0.500 0.505 0.505 1
Mg3 Mg 0.500 0.773 0.773 1
Rh1 Rh 0.000 0.648 0.648 1
```

=====

A plane-wave DFT calculation with PBE was carried out for Nd7Y2Er2 after structural relaxation.

Values from the calculation:
Calculated formation energy ... 1.6 eV per formula unit
Distance to the lowest polymorph of the same formula ... 0.09 eV per formula unit
Symmetry ... No. 12

Geometry as CIF:
```
data_Nd7Y2Er2
_chemical_formula_sum 'Nd7 Y2 Er2'
_cell_length_a 8.168
_cell_length_b 8.168
_cell_length_c 6.104
_cell_angle_alpha 105.56
_cell_angle_beta 105.56
_cell_angle_gamma 88.77
_space_group_name_H-M_alt 'P 1'
_space_group_IT_number 1
loop_
_space_group_symop_operation_xyz
'x,y,z'
loop_
_atom_site_label
_atom_site_type_symbol
_atom_site_fract_x
_atom_site_fract_y
_atom_site_fract_z
_atom_site_occupancy
Nd1 Nd 0.000 0.000 0.000 1
Nd2 Nd 0.045 0.590 0.824 1
Nd3 Nd 0.234 0.234 0.602 1
Nd4 Nd 0.410 0.955 0.176 1
Nd5 Nd 0.590 0.045 0.824 1
Nd6 Nd 0.766 0.766 0.398 1
Nd7 Nd 0.955 0.410 0.176 1
Y1 Y 0.218 0.782 0.500 1
Y2 Y 0.782 0.218 0.500 1
Er1 Er 0.422 0.422 0.202 1
Er2 Er 0.578 0.578 0.798 1
```

=====

A plane-wave DFT calculation with PBE was carried out for CrTeHRhAu2 after structural relaxation.

Values from the calculation:
Distance to the lowest polymorph of the same formula ... 0.43 eV per formula unit
Symmetry ... No. 6

Geometry as CIF:
```
data_CrTeHRhAu2
_chemical_formula_sum 'Cr1 Te1 H1 Rh1 Au2'
_cell_length_a 5.659
_cell_length_b 2.965
_cell_length_c 6.377
_cell_angle_alpha 90.00
_cell_angle_beta 105.22
_cell_angle_gamma 90.00
_space_group_name_H-M_alt 'P 1'
_space_group_IT_number 1
loop_
_space_group_symop_operation_xyz
'x,y,z'
loop_
_atom_site_label
_atom_site_type_symbol
_atom_site_fract_x
_atom_site_fract_y
_atom_site_fract_z
_atom_site_occupancy
Cr1 Cr 0.000 0.000 0.000 1
Te1 Te 0.281 0.500 0.355 1
H1 H 0.876 0.000 0.681 1
Rh1 Rh 0.054 0.500 0.684 1
Au1 Au 0.467 0.000 0.897 1
Au2 Au 0.745 0.500 0.258 1
```

=====

A plane-wave DFT calculation with PBE was carried out for Li2PmGa after structural relaxation.

Values from the calculation:
Calculated formation energy ... -1.1 eV per formula unit
Distance to the lowest polymorph of the same formula ... 0.00 eV per formula unit
Symmetry ... No. 160

Geometry as CIF:
```
data_Li2PmGa
_chemical_formula_sum 'Li2 Pm1 Ga1'
_cell_length_a 4.908
_cell_length_b 4.908
_cell_length_c 4.908
_cell_angle_alpha 60.11
_cell_angle_beta 60.11
_cell_angle_gamma 60.11
_space_group_name_H-M_alt 'P 1'
_space_group_IT_number 1
loop_
_space_group_symop_operation_xyz
'x,y,z'
loop_
_atom_site_label
_atom_site_type_symbol
_atom_site_fract_x
_atom_site_fract_y
_atom_site_fract_z
_atom_site_occupancy
Li1 Li 0.000 0.000 0.000 1
Li2 Li 0.250 0.250 0.250 1
Pm1 Pm 0.500 0.500 0.500 1
Ga1 Ga 0.751 0.751 0.751 1
```

=====

A plane-wave DFT calculation with PBE was carried out for Pr3Dy2Cd6 after structural relaxation.

Values from the calculation:
Calculated formation energy ... 1.8 eV per formula unit
Symmetry ... No. 139

Geometry as CIF:
```
data_Pr3Dy2Cd6
_chemical_formula_sum 'Pr3 Dy2 Cd6'
_cell_length_a 12.209
_cell_length_b 12.209
_cell_length_c 12.209
_cell_angle_alpha 152.53
_cell_angle_beta 152.53
_cell_angle_gamma 39.24
_space_group_name_H-M_alt 'P 1'
_space_group_IT_number 1
loop_
_space_group_symop_operation_xyz
'x,y,z'
loop_
_atom_site_label
_atom_site_type_symbol
_atom_site_fract_x
_atom_site_fract_y
_atom_site_fract_z
_atom_site_occupancy
Pr1 Pr 0.000 0.000 0.000 1
Pr2 Pr 0.146 0.146 0.000 1
Pr3 Pr 0.854 0.854 0.000 1
Dy1 Dy 0.422 0.422 0.000 1
Dy2 Dy 0.578 0.578 0.000 1
Cd1 Cd 0.067 0.567 0.500 1
Cd2 Cd 0.287 0.287 0.000 1
Cd3 Cd 0.433 0.933 0.500 1
Cd4 Cd 0.567 0.067 0.500 1
Cd5 Cd 0.713 0.713 0.000 1
Cd6 Cd 0.933 0.433 0.500 1
```

=====

A plane-wave DFT calculation with PBE was carried out for MoIrOs2 after structural relaxation.

Values from the calculation:
Calculated formation energy ... -0.1 eV per formula unit
Distance to the lowest polymorph of the same formula ... 0.29 eV per formula unit
Symmetry ... No. 25

Geometry as CIF:
```
data_MoIrOs2
_chemical_formula_sum 'Mo1 Ir1 Os2'
_cell_length_a 2.745
_cell_length_b 3.888
_cell_length_c 5.534
_cell_angle_alpha 90.00
_cell_angle_beta 90.00
_cell_angle_gamma 90.00
_space_group_name_H-M_alt 'P 1'
_space_group_IT_number 1
loop_
_space_group_symop_operation_xyz
'x,y,z'
loop_
_atom_site_label
_atom_site_type_symbol
_atom_site_fract_x
_atom_site_fract_y
_atom_site_fract_z
_atom_site_occupancy
Mo1 Mo 0.000 0.000 0.000 1
Ir1 Ir 0.500 0.500 0.748 1
Os1 Os 0.000 0.000 0.482 1
Os2 Os 0.500 0.500 0.261 1
```

=====

A plane-wave DFT calculation with PBE was carried out for Ac2MgGe2 after structural relaxation.

Values from the calculation:
Calculated formation energy ... -3.2 eV per formula unit
Distance to the lowest polymorph of the same formula ... 0.09 eV per formula unit
Symmetry ... No. 36

Geometry as CIF:
```
data_Ac2MgGe2
_chemical_formula_sum 'Ac4 Mg2 Ge4'
_cell_length_a 8.889
_cell_length_b 8.889
_cell_length_c 7.934
_cell_angle_alpha 90.00
_cell_angle_beta 90.00
_cell_angle_gamma 150.27
_space_group_name_H-M_alt 'P 1'
_space_group_IT_number 1
loop_
_space_group_symop_operation_xyz
'x,y,z'
loop_
_atom_site_label
_atom_site_type_symbol
_atom_site_fract_x
_atom_site_fract_y
_atom_site_fract_z
_atom_site_occupancy
Ac1 Ac 0.037 0.963 0.500 1
Ac2 Ac 0.206 0.794 0.850 1
Ac3 Ac 0.794 0.206 0.350 1
Ac4 Ac 0.963 0.037 0.000 1
Mg1 Mg 0.402 0.598 0.655 1
Mg2 Mg 0.598 0.402 0.155 1
Ge1 Ge 0.174 0.826 0.242 1
Ge2 Ge 0.437 0.563 0.298 1
Ge3 Ge 0.563 0.437 0.798 1
Ge4 Ge 0.826 0.174 0.742 1
```

=====

| no. | ρ (Mg/m³) | DOS(E_F) (states/eV/cell) |
| --- | --- | --- |
| 1 | 6.87 | 7.4 |
| 2 | 6.11 | 5.0 |
| 3 | 4.56 | 2.9 |
| 4 | 6.70 | 14.7 |
| 5 | 10.90 | 3.3 |
| 6 | 4.53 | 1.7 |
| 7 | 6.11 | 12.0 |
| 8 | 18.80 | 3.5 |
| 9 | 6.66 | 1.2 |